[1]
This record from the Alexandria database describes ZrTlSe2F after structural relaxation. The functional is GGA-PBE.

Computed properties:
Space-group type: P2_1/m (11)
Offset from the most stable computed form in meV per atom: 0
Formation energy from raw total energies in eV/atom: -1.6304

a b c (Å): 3.8759 8.1137 8.9780
angles (deg): 107.48 90.00 90.00
Positions (direct):
1 Zr 0.2500 0.8252 0.8222
2 Zr 0.7500 0.1748 0.1778
3 Tl 0.2500 0.7189 0.3068
4 Tl 0.7500 0.2811 0.6932
5 Se 0.7500 0.8555 0.6266
6 Se 0.7500 0.8179 0.0388
7 Se 0.2500 0.1445 0.3734
8 Se 0.2500 0.1821 0.9612
9 F 0.2500 0.5657 0.7554
10 F 0.7500 0.4343 0.2446


[2]
This record from the Alexandria database describes HgRuW2 after structural relaxation. The functional is GGA-PBE.

Computed properties:
Space-group type: P2/m (10)
Energy relative to the elements in eV per atom: 0.449
Offset from the most stable computed form in meV per atom: 36

a b c (Å): 4.1051 2.8315 6.3323
angles (deg): 63.65 90.00 90.00
Positions (direct):
1 Hg 0.5000 0.2500 0.2500
2 Ru 0.5000 0.7500 0.7500
3 W 0.0000 0.0247 0.9731
4 W 0.0000 0.4753 0.5269


[3]
This record from the Alexandria database describes Li2H8Rh3 after structural relaxation. The functional is GGA-PBE.

Computed properties:
Space-group type: C2/m (12)
Offset from the most stable computed form in meV per atom: 0

a b c (Å): 4.9065 5.4600 5.0648
angles (deg): 122.62 105.00 90.00
Positions (direct):
1 Li 0.3377 0.3036 0.6073
2 Li 0.6623 0.6964 0.3927
3 H 0.0004 0.6202 0.2405
4 H 0.9996 0.3798 0.7595
5 H 0.8866 0.1148 0.2297
6 H 0.1134 0.8852 0.7703
7 H 0.6298 0.6636 0.8081
8 H 0.6298 0.1445 0.8081
9 H 0.3702 0.8555 0.1919
10 H 0.3702 0.3364 0.1919
11 Rh 0.5000 0.0000 0.0000
12 Rh 0.0000 0.2419 0.0000
13 Rh 0.0000 0.7581 0.0000


[4]
This record from the Alexandria database describes TaTlS2 after structural relaxation. The functional is GGA-PBE.

Computed properties:
Space-group type: I-42d (122)
Formation energy from raw total energies in eV/atom: -0.3476

a b c (Å): 6.5495 6.5495 7.2881
angles (deg): 63.30 63.30 90.00
Positions (direct):
1 Tl 0.0000 0.0000 0.0000
2 Tl 0.7500 0.2500 0.5000
3 S 0.5090 0.1250 0.2500
4 S 0.2410 0.6250 0.2500
5 S 0.3750 0.4910 0.7500
6 S 0.8750 0.7590 0.7500
7 Ta 0.5000 0.5000 0.0000
8 Ta 0.2500 0.7500 0.5000


[5]
This record from the Alexandria database describes KLi2TlAg after structural relaxation. The functional is GGA-PBE.

Computed properties:
Space-group type: P4/mmm (123)
Energy relative to the elements in eV per atom: 0.019
Offset from the most stable computed form in meV per atom: 0

a b c (Å): 5.2741 5.2741 5.3865
angles (deg): 90.00 90.00 90.00
Positions (direct):
1 Tl 0.0000 0.0000 0.5000
2 K 0.5000 0.5000 0.5000
3 Ag 0.0000 0.0000 0.0000
4 Li 0.0000 0.5000 0.0000
5 Li 0.5000 0.0000 0.0000


[6]
This record from the Alexandria database describes Cs2HgAuO after structural relaxation. The functional is GGA-PBE.

Computed properties:
Space-group type: P2_1/m (11)
Offset from the most stable computed form in meV per atom: 0
Formation energy from raw total energies in eV/atom: -0.6083

a b c (Å): 4.9609 7.6651 10.0642
angles (deg): 109.00 90.00 90.00
Positions (direct):
1 Cs 0.7500 0.8403 0.6400
2 Cs 0.7500 0.7993 0.0292
3 Cs 0.2500 0.1597 0.3600
4 Cs 0.2500 0.2007 0.9708
5 Hg 0.2500 0.5194 0.7395
6 Hg 0.7500 0.4806 0.2605
7 Au 0.2500 0.6459 0.3052
8 Au 0.7500 0.3541 0.6948
9 O 0.2500 0.8190 0.8261
10 O 0.7500 0.1810 0.1739


[7]
This record from the Alexandria database describes TbPuAg2 after structural relaxation. The functional is GGA-PBE.

Computed properties:
Space-group type: P4/mmm (123)
Energy relative to the elements in eV per atom: -0.092
Offset from the most stable computed form in meV per atom: 0

a b c (Å): 3.5718 3.5718 7.6798
angles (deg): 90.00 90.00 90.00
Positions (direct):
1 Tb 0.5000 0.5000 0.0000
2 Ag 0.0000 0.0000 0.7646
3 Ag 0.0000 0.0000 0.2354
4 Pu 0.5000 0.5000 0.5000


[8]
This record from the Alexandria database describes Na2AgPd2 after structural relaxation. The functional is GGA-PBE.

Computed properties:
Space-group type: C2/c (15)
Energy relative to the elements in eV per atom: -0.046
Offset from the most stable computed form in meV per atom: 0

a b c (Å): 5.7146 5.7146 7.7381
angles (deg): 71.75 71.75 51.49
Positions (direct):
1 Na 0.4671 0.1325 0.1516
2 Na 0.8675 0.5329 0.3484
3 Na 0.5329 0.8675 0.8484
4 Na 0.1325 0.4671 0.6516
5 Ag 0.3077 0.6923 0.2500
6 Ag 0.6923 0.3077 0.7500
7 Pd 0.7329 0.0987 0.4412
8 Pd 0.9013 0.2671 0.0588
9 Pd 0.2671 0.9013 0.5588
10 Pd 0.0987 0.7329 0.9412